# 1
K2Sr2Y | PBE-GGA | relaxed

```
K2Sr2Y
1.0
10.7947 0.0000 0.0000
0.0000 10.7947 0.0000
0.0000 0.0000 4.4345
K Sr Y
4 4 2
Direct
0.1194 0.3806 0.0000 K
0.3806 0.8806 0.0000 K
0.6194 0.1194 0.0000 K
0.8806 0.6194 0.0000 K
0.1873 0.6873 0.5000 Sr
0.3127 0.1873 0.5000 Sr
0.6873 0.8127 0.5000 Sr
0.8127 0.3127 0.5000 Sr
0.0000 0.0000 0.0000 Y
0.5000 0.5000 0.0000 Y
```

Summary:
Energy of formation from the pure elements: 2.49 eV per formula unit
Electronic total energy: -1.9062 eV per atom

=====

# 2
KSr2Y2 | PBE-GGA | relaxed

```
KSr2Y2
1.0
11.0244 0.0000 0.0000
0.0000 11.0244 0.0000
0.0000 0.0000 3.9364
K Sr Y
2 4 4
Direct
0.0000 0.0000 0.0000 K
0.5000 0.5000 0.0000 K
0.1797 0.3203 0.5000 Sr
0.3203 0.8203 0.5000 Sr
0.6797 0.1797 0.5000 Sr
0.8203 0.6797 0.5000 Sr
0.1067 0.6067 0.0000 Y
0.3933 0.1067 0.0000 Y
0.6067 0.8933 0.0000 Y
0.8933 0.3933 0.0000 Y
```

Summary:
Energy of formation from the pure elements: 1.80 eV per formula unit
Electronic total energy: -3.1169 eV per atom

=====

# 3
K2SrY | PBE-GGA | relaxed

```
K2SrY
1.0
1.9978 1.1534 14.7158
-1.9978 1.1534 14.7158
0.0000 -2.3069 14.7158
K Sr Y
2 1 1
Direct
0.2454 0.2454 0.2454 K
0.7546 0.7546 0.7546 K
0.0000 0.0000 0.0000 Sr
0.5000 0.5000 0.5000 Y
```

Summary:
Energy of formation from the pure elements: 1.41 eV per formula unit
Electronic total energy: -2.2320 eV per atom

=====

# 4
K2SrY | PBE-GGA | relaxed

```
K2SrY
1.0
3.9755 0.0000 0.0000
0.0000 3.9755 0.0000
0.0000 0.0000 13.3606
K Sr Y
2 1 1
Direct
0.0000 0.0000 0.0000 K
0.5000 0.5000 0.2944 K
0.0000 0.0000 0.5663 Sr
0.5000 0.5000 0.7630 Y
```

Summary:
Energy of formation from the pure elements: 1.06 eV per formula unit
Electronic total energy: -2.3195 eV per atom

=====

# 5
K2Sr4Zn | PBE-GGA | relaxed

```
K2Sr4Zn
1.0
-3.1269 3.1269 10.7015
3.1269 -3.1269 10.7015
3.1269 3.1269 -10.7015
K Sr Zn
2 4 1
Direct
0.1522 0.1522 0.0000 K
0.8478 0.8478 0.0000 K
0.0000 0.5000 0.5000 Sr
0.3531 0.3531 0.0000 Sr
0.5000 0.0000 0.5000 Sr
0.6469 0.6469 0.0000 Sr
0.5000 0.5000 0.0000 Zn
```

Summary:
Energy of formation from the pure elements: 0.78 eV per formula unit
Electronic total energy: -1.3445 eV per atom

=====

# 6
KSr3Zn | PBE-GGA | relaxed

```
KSr3Zn
1.0
7.2823 0.0000 0.0000
0.0000 7.2823 0.0000
0.0000 0.0000 7.2823
K Sr Zn
1 3 1
Direct
0.0000 0.0000 0.0000 K
0.0000 0.0000 0.5000 Sr
0.0000 0.5000 0.0000 Sr
0.5000 0.0000 0.0000 Sr
0.5000 0.5000 0.5000 Zn
```

Summary:
Energy of formation from the pure elements: 4.15 eV per formula unit
Electronic total energy: -0.6540 eV per atom